The following is a DFT calculation (PBE) of a relaxed structure of Ho5PdRu4.

a = 3.4129 Å, b = 3.4129 Å, c = 16.9249 Å
α = 90.00°, β = 90.00°, γ = 90.00°
Closest atoms and distances in Å follow each position.
Space group P4/mmm (No. 123)
Symmetry-distinct sites (fractional):
Ho1 0.0000 0.0000 0.0000 x1  8 Ru 2.94
Ho2 0.0000 0.0000 0.1978 x2  8 Ru 2.93-2.98
Ho3 0.0000 0.0000 0.3943 x2  4 Ru 2.88, 4 Pd 3.00
Pd1 0.5000 0.5000 0.5000 x1  8 Ho 3.00
Ru1 0.5000 0.5000 0.0995 x2  8 Ho 2.93-2.94
Ru2 0.5000 0.5000 0.3011 x2  8 Ho 2.88-2.98

Calculated values
DOS(E_F) = 0.67 states/eV/atom
volume = 197 Å³ per cell
energy of formation from the pure elements = -0.5046 eV per atom